DFT (PBE) results for LaMoW2 after structural relaxation.

a = 3.227 Å, b = 4.771 Å, c = 9.766 Å
α = 90.00°, β = 90.00°, γ = 90.00°
Fractional coordinates of all 8 atoms:
La (0.000, 0.000, 0.000)
La (0.500, 0.500, 0.000)
Mo (0.000, 0.500, 0.720)
Mo (0.500, 0.000, 0.720)
W (0.000, 0.000, 0.503)
W (0.000, 0.500, 0.284)
W (0.500, 0.000, 0.284)
W (0.500, 0.500, 0.503)

Output
Its energy of formation from the pure elements is 441 meV/atom. Its density is 13.3 g cm⁻³. Its total magnetic moment is 0.000 μB/cell.